A geometry-optimized LaNdNbN3 structure. Source: the Alexandria database, functional PBE.

```
LaNdNbN3
1.0
3.5220 0.0000 0.0000
0.0000 5.9992 0.3863
0.0000 -2.4920 8.5209
N Nd La Nb
6 2 2 2
Direct
0.2500 0.4313 0.8134 N
0.2500 0.7762 0.4712 N
0.2500 0.9550 0.8160 N
0.7500 0.0450 0.1840 N
0.7500 0.5687 0.1866 N
0.7500 0.2238 0.5288 N
0.7500 0.2324 0.9522 Nd
0.2500 0.7676 0.0478 Nd
0.2500 0.3586 0.3145 La
0.7500 0.6414 0.6855 La
0.2500 0.1281 0.6334 Nb
0.7500 0.8719 0.3666 Nb
```

Summary:
As for the uncorrected formation energy: -7.62 eV/f.u.



A geometry-optimized GaP2IrW structure. Source: the Alexandria database, functional PBE.

```
GaP2IrW
1.0
-0.3714 3.9298 2.0816
-2.0916 -2.0443 3.4861
3.9458 -0.6723 1.9732
W Ir P Ga
1 1 2 1
Direct
0.5000 0.5000 0.5000 W
0.0000 0.5000 0.0000 Ir
0.0000 0.0000 0.5000 P
0.5000 0.0000 0.0000 P
0.0000 0.0000 0.0000 Ga
```

Summary:
As for the energy of formation from the pure elements: 1.670 eV/atom.



A geometry-optimized CaGaAgSb2 structure. Source: the Alexandria database, functional PBE.

```
CaGaAgSb2
1.0
5.7564 0.0000 0.0000
0.0000 5.5351 0.0000
0.0000 0.0000 5.7564
Sb Ga Ag Ca
2 1 1 1
Direct
0.0000 0.0000 0.5000 Sb
0.5000 0.0000 0.0000 Sb
0.5000 0.5000 0.5000 Ga
0.0000 0.5000 0.0000 Ag
0.0000 0.0000 0.0000 Ca
```

Summary:
As for the uncorrected formation energy: 3.04 eV/f.u.



A geometry-optimized TaTl2Rh structure. Source: the Alexandria database, functional PBE.

```
TaTl2Rh
1.0
-2.1508 -6.0015 -1.1981
-4.3501 -3.4122 3.3931
1.8843 5.0717 -3.5786
Tl Rh Ta
2 1 1
Direct
0.9877 0.9877 0.0000 Tl
0.2795 0.7795 0.5000 Tl
0.5233 0.5233 0.0000 Rh
0.7095 0.2095 0.5000 Ta
```

Summary:
As for the energy of formation from the pure elements: 0.337 eV/atom. As for the energy above the most stable polymorph in this dataset: 240 meV per atom.



A geometry-optimized AcMg6Hg2 structure. Source: the Alexandria database, functional PBE.

```
AcMg6Hg2
1.0
-2.3108 -1.6089 3.5542
3.6910 0.4367 2.5974
-3.0876 10.3009 2.6556
Mg Hg Ac
6 2 1
Direct
0.0000 0.0000 0.5000 Mg
0.5000 0.5000 0.5000 Mg
0.5000 0.0000 0.7050 Mg
0.0000 0.5000 0.7050 Mg
0.0000 0.5000 0.2950 Mg
0.5000 0.0000 0.2950 Mg
0.5000 0.5000 0.8652 Hg
0.5000 0.5000 0.1348 Hg
0.0000 0.0000 0.0000 Ac
```

Summary:
As for the energy of formation from the pure elements: -0.204 eV/atom. As for the energy above the most stable polymorph in this dataset: 0 meV per atom.



A geometry-optimized MnTc2Br structure. Source: the Alexandria database, functional PBE.

```
MnTc2Br
1.0
2.9357 0.0000 0.0000
0.0000 4.6167 0.0000
0.0000 0.0000 4.5660
Tc Mn Br
2 1 1
Direct
0.0000 0.0000 0.0000 Tc
0.5000 0.5000 0.0000 Tc
0.0000 0.5000 0.5000 Mn
0.5000 0.0000 0.5000 Br
```

Summary:
As for the uncorrected formation energy: 3.29 eV/f.u. As for the energy above the most stable polymorph in this dataset: 523 meV per atom.



A geometry-optimized K2ZrRu structure. Source: the Alexandria database, functional PBE.

```
K2ZrRu
1.0
-3.1441 -0.8482 -1.1416
1.4110 -2.2082 -2.2453
-0.5812 -8.1741 7.6739
K Zr Ru
2 1 1
Direct
0.0000 0.0000 0.9535 K
0.5000 0.5000 0.3323 K
0.5000 0.5000 0.6563 Zr
0.0000 0.0000 0.5579 Ru
```

Summary:
As for the energy of formation from the pure elements: 0.308 eV/atom. As for the energy above the most stable polymorph in this dataset: 0 meV per atom.



A geometry-optimized CoHS2 structure. Source: the Alexandria database, functional PBE.

```
CoHS2
1.0
6.7035 2.2629 0.5673
6.9784 -0.4058 1.2313
6.9442 0.3613 -1.4237
H S Co
1 2 1
Direct
0.5000 0.5000 0.5000 H
0.1007 0.1007 0.1007 S
0.8993 0.8993 0.8993 S
0.0000 0.0000 0.0000 Co
```

Summary:
As for the energy above the most stable polymorph in this dataset: 1023 meV per atom.